[1]
Compound: CdAgPt2
Source: the Open Quantum Materials Database
Functional: PBE
Structure: relaxed

## Properties
- total moment (μB per atom) = 0.001
- DFT formation energy (eV/atom) = -0.088
- final energy (eV/f.u.) = -16.2

Lattice parameters (Å, degrees): 4.5988 4.5988 4.5988 60.00 60.00 60.00
With the nearest neighbours (Å) after each atom.
Fractional positions:
Ag: 0.7500 0.7500 0.7500  4 Pt 2.82, 4 Cd 2.82
Cd: 0.0000 0.0000 0.0000  4 Ag 2.82, 4 Pt 2.82
Pt: 0.2500 0.2500 0.2500  4 Cd 2.82, 4 Pt 2.82
Pt: 0.5000 0.5000 0.5000  4 Ag 2.82, 4 Pt 2.82

***

[2]
Compound: CdAgPt
Source: the Open Quantum Materials Database
Functional: PBE
Structure: relaxed

## Properties
- total moment (μB per atom) = 0.000
- DFT formation energy (eV/atom) = 0.015
- final energy (eV/f.u.) = -9.7

Lattice parameters (Å, degrees): 4.4900 4.4900 4.4900 60.00 60.00 60.00
With the nearest neighbours (Å) after each atom.
Fractional positions:
Ag: 0.2500 0.2500 0.2500  4 Pt 2.75
Cd: 0.7500 0.7500 0.7500  4 Pt 2.75
Pt: 0.0000 0.0000 0.0000  4 Cd 2.75, 4 Ag 2.75

***

[3]
Compound: CdAg2Pt
Source: the Open Quantum Materials Database
Functional: PBE
Structure: relaxed

## Properties
- total moment (μB per atom) = 0.000
- DFT formation energy (eV/atom) = -0.104
- final energy (eV/f.u.) = -13.0

Lattice parameters (Å, degrees): 4.6489 4.6489 4.6489 60.00 60.00 60.00
With the nearest neighbours (Å) after each atom.
Fractional positions:
Ag: 0.2500 0.2500 0.2500  4 Ag 2.85, 4 Pt 2.85
Ag: 0.5000 0.5000 0.5000  4 Ag 2.85, 4 Cd 2.85
Cd: 0.7500 0.7500 0.7500  4 Pt 2.85, 4 Ag 2.85
Pt: 0.0000 0.0000 0.0000  4 Ag 2.85, 4 Cd 2.85

***

[4]
Compound: Cd2AgPt
Source: the Open Quantum Materials Database
Functional: PBE
Structure: relaxed

## Properties
- total moment (μB per atom) = 0.000
- DFT formation energy (eV/atom) = -0.127
- final energy (eV/f.u.) = -11.2

Lattice parameters (Å, degrees): 4.6842 4.6842 4.6842 60.00 60.00 60.00
With the nearest neighbours (Å) after each atom.
Fractional positions:
Ag: 0.5000 0.5000 0.5000  4 Cd 2.87, 4 Pt 2.87
Cd: 0.0000 0.0000 0.0000  4 Cd 2.87, 4 Pt 2.87
Cd: 0.2500 0.2500 0.2500  4 Ag 2.87, 4 Cd 2.87
Pt: 0.7500 0.7500 0.7500  4 Ag 2.87, 4 Cd 2.87

***

[5]
Compound: PuCdAg2SeS3
Source: the Open Quantum Materials Database
Functional: PBE
Structure: relaxed

## Properties
- total moment (μB per atom) = 0.499
- final energy (eV/f.u.) = -41.0

Lattice parameters (Å, degrees): 6.1074 6.1074 7.2123 115.00 115.00 90.05
With the nearest neighbours (Å) after each atom.
Fractional positions:
Ag: 0.7575 0.2323 0.4896  3 S 2.55, 1 Se 2.69
Ag: 0.2323 0.7575 0.4896  3 S 2.55, 1 Se 2.69
Cd: 0.0071 0.0071 0.0048  3 S 2.55-2.56, 1 Se 2.66
Pu: 0.5008 0.5008 0.0164  3 S 2.61-2.62, 1 Se 2.76
S: 0.8850 0.3718 0.2551  2 Ag 2.55, 1 Cd 2.55, 1 Pu 2.61
S: 0.3718 0.8850 0.2551  2 Ag 2.55, 1 Cd 2.55, 1 Pu 2.61
S: 0.1228 0.1228 0.7506  2 Ag 2.55, 1 Cd 2.56, 1 Pu 2.62
Se: 0.6227 0.6227 0.7387  1 Cd 2.66, 2 Ag 2.69, 1 Pu 2.76

***

[6]
Compound: RbCdAg
Source: the Open Quantum Materials Database
Functional: PBE
Structure: relaxed

## Properties
- final energy (eV/f.u.) = -4.3

Lattice parameters (Å, degrees): 5.4583 5.4583 5.4583 60.00 60.00 60.00
With the nearest neighbours (Å) after each atom.
Fractional positions:
Ag: 0.0000 0.0000 0.0000  4 Cd 3.34, 4 Rb 3.34
Cd: 0.2500 0.2500 0.2500  4 Ag 3.34
Rb: 0.7500 0.7500 0.7500  4 Ag 3.34

***

[7]
Compound: CdReAg2
Source: the Open Quantum Materials Database
Functional: PBE
Structure: relaxed

## Properties
- total moment (μB per atom) = 0.570
- DFT formation energy (eV/atom) = 0.804
- final energy (eV/f.u.) = -15.8

Lattice parameters (Å, degrees): 4.6514 4.6514 4.6514 60.00 60.00 60.00
With the nearest neighbours (Å) after each atom.
Fractional positions:
Ag: 0.2500 0.2500 0.2500  4 Re 2.85, 4 Ag 2.85
Ag: 0.5000 0.5000 0.5000  4 Cd 2.85, 4 Ag 2.85
Cd: 0.7500 0.7500 0.7500  4 Re 2.85, 4 Ag 2.85
Re: 0.0000 0.0000 0.0000  4 Cd 2.85, 4 Ag 2.85

***

[8]
Compound: Cd2ReAg
Source: the Open Quantum Materials Database
Functional: PBE
Structure: relaxed

## Properties
- total moment (μB per atom) = 0.505
- DFT formation energy (eV/atom) = 0.777
- final energy (eV/f.u.) = -13.9

Lattice parameters (Å, degrees): 4.6943 4.6943 4.6943 60.00 60.00 60.00
With the nearest neighbours (Å) after each atom.
Fractional positions:
Ag: 0.7500 0.7500 0.7500  4 Cd 2.87, 4 Re 2.87
Cd: 0.2500 0.2500 0.2500  4 Re 2.87, 4 Cd 2.87
Cd: 0.5000 0.5000 0.5000  4 Ag 2.87, 4 Cd 2.87
Re: 0.0000 0.0000 0.0000  4 Ag 2.87, 4 Cd 2.87

***

[9]
Compound: CdSiAg2Se2S2
Source: the Open Quantum Materials Database
Functional: PBE
Structure: relaxed

## Properties
- final energy (eV/f.u.) = -30.4

Lattice parameters (Å, degrees): 7.1536 7.1536 5.7588 113.27 113.27 47.40
With the nearest neighbours (Å) after each atom.
Fractional positions:
Ag: 0.7522 0.7472 0.2775  2 S 2.55-2.56, 2 Se 2.66-2.67
Ag: 0.2528 0.2478 0.7225  2 S 2.55-2.56, 2 Se 2.66-2.67
Cd: 0.0077 0.9923 0.0000  2 S 2.61, 2 Se 2.71
S: 0.3901 0.8288 0.3922  1 Si 2.16
S: 0.1712 0.6099 0.6078  1 Si 2.16
Se: 0.5992 0.1627 0.1616  1 Si 2.31
Se: 0.8373 0.4008 0.8384  1 Si 2.31
Si: 0.4894 0.5106 0.5000  2 S 2.16, 2 Se 2.31

***

[10]
Compound: CdSiAg2Se2S2
Source: the Open Quantum Materials Database
Functional: PBE
Structure: relaxed

## Properties
- final energy (eV/f.u.) = -30.4

Lattice parameters (Å, degrees): 7.1959 7.1458 5.7639 66.76 65.85 47.39
With the nearest neighbours (Å) after each atom.
Fractional positions:
Ag: 0.2406 0.2406 0.2594  2 S 2.55, 2 Se 2.67
Ag: 0.7406 0.7406 0.7594  2 S 2.55, 2 Se 2.67
Cd: 0.0047 0.0047 0.9953  2 S 2.64, 2 Se 2.68
S: 0.8317 0.4003 0.1683  1 Si 2.16
S: 0.4003 0.8317 0.5997  1 Si 2.16
Se: 0.1664 0.6085 0.3915  1 Si 2.31
Se: 0.6085 0.1664 0.8336  1 Si 2.31
Si: 0.5074 0.5074 0.4926  2 S 2.16, 2 Se 2.31

***

[11]
Compound: CdSiAg2Se3S
Source: the Open Quantum Materials Database
Functional: PBE
Structure: relaxed

## Properties
- final energy (eV/f.u.) = -29.6

Lattice parameters (Å, degrees): 5.8382 5.8382 7.2207 113.31 113.31 90.60
With the nearest neighbours (Å) after each atom.
Fractional positions:
Ag: 0.7344 0.2588 0.4907  1 S 2.55, 3 Se 2.66-2.67
Ag: 0.2588 0.7344 0.4907  1 S 2.55, 3 Se 2.66-2.67
Cd: 0.0071 0.0071 0.0048  1 S 2.63, 3 Se 2.70-2.73
S: 0.3939 0.3939 0.2236  1 Si 2.16
Se: 0.8386 0.8386 0.2401  1 Si 2.32
Se: 0.6056 0.1638 0.7714  1 Si 2.31
Se: 0.1638 0.6056 0.7714  1 Si 2.31
Si: 0.4977 0.4977 0.0072  1 S 2.16, 3 Se 2.31-2.32

***

[12]
Compound: CdAg2WSeS3
Source: the Open Quantum Materials Database
Functional: PBE
Structure: relaxed

## Properties
- total moment (μB per atom) = 0.158
- final energy (eV/f.u.) = -36.8

Lattice parameters (Å, degrees): 5.9058 5.9058 7.0585 114.65 114.65 89.50
With the nearest neighbours (Å) after each atom.
Fractional positions:
Ag: 0.7425 0.2699 0.5102  3 S 2.55-2.56, 1 Se 2.69
Ag: 0.2699 0.7425 0.5102  3 S 2.55-2.56, 1 Se 2.69
Cd: 0.0031 0.0031 0.9962  3 S 2.63-2.64, 1 Se 2.72
S: 0.3878 0.3878 0.2264  1 W 2.28
S: 0.6057 0.1546 0.7625  1 W 2.28, 1 Ag 2.55
S: 0.1546 0.6057 0.7625  1 W 2.28, 1 Ag 2.55
Se: 0.8467 0.8467 0.2418  1 W 2.42, 2 Ag 2.69
W: 0.4898 0.4898 0.9901  3 S 2.28, 1 Se 2.42

***

[13]
Compound: CdSiAg2Te3S
Source: the Open Quantum Materials Database
Functional: PBE
Structure: relaxed

## Properties
- final energy (eV/f.u.) = -27.4

Lattice parameters (Å, degrees): 6.1811 6.1811 7.5065 113.26 113.26 90.96
With the nearest neighbours (Å) after each atom.
Fractional positions:
Ag: 0.7240 0.2810 0.4808  1 S 2.55, 3 Te 2.79-2.82
Ag: 0.2810 0.7240 0.4808  1 S 2.55, 3 Te 2.79-2.82
Cd: 0.0037 0.0037 0.0126  1 S 2.73, 3 Te 2.86-2.91
S: 0.3825 0.3825 0.2170  1 Si 2.17
Si: 0.4890 0.4890 0.0161  1 S 2.17
Te: 0.8484 0.8484 0.2693  1 Si 2.58, 2 Ag 2.82
Te: 0.6129 0.1584 0.7617  1 Si 2.56, 2 Ag 2.79-2.81
Te: 0.1584 0.6129 0.7617  1 Si 2.56, 2 Ag 2.79-2.81